Record 1
# PBE-GGA Ba2YSn3O7, optimized geometry
data_Ba2YSn3O7
_chemical_formula_sum 'Ba2 Y1 Sn3 O7'
_cell_length_a 4.1859
_cell_length_b 4.3940
_cell_length_c 12.0425
_cell_angle_alpha 90.00
_cell_angle_beta 90.00
_cell_angle_gamma 90.00
_symmetry_space_group_name_H-M 'P m m m'
_symmetry_Int_Tables_number 47
loop_
_symmetry_equiv_pos_as_xyz
'x,y,z'
'-x,-y,-z'
'-x,-y,z'
'x,y,-z'
'x,-y,-z'
'-x,y,z'
'-x,y,-z'
'x,-y,z'
loop_
_atom_site_label
_atom_site_type_symbol
_atom_site_fract_x
_atom_site_fract_y
_atom_site_fract_z
Ba1 Ba 0.0000 0.0000 0.1738
Y1 Y 0.0000 0.0000 0.5000
Sn1 Sn 0.5000 0.5000 0.0000
Sn2 Sn 0.5000 0.5000 0.3685
O1 O 0.0000 0.5000 0.3793
O2 O 0.5000 0.0000 0.0000
O3 O 0.5000 0.0000 0.3783
O4 O 0.5000 0.5000 0.1965
# raw formation energy: -25.483 eV per formula unit

Record 2
# PBE-GGA Ba3ZnSn2O9, optimized geometry
data_Ba3ZnSn2O9
_chemical_formula_sum 'Ba3 Zn1 Sn2 O9'
_cell_length_a 5.9026
_cell_length_b 5.9026
_cell_length_c 7.3050
_cell_angle_alpha 90.00
_cell_angle_beta 90.00
_cell_angle_gamma 120.00
_symmetry_space_group_name_H-M 'P -3 m 1'
_symmetry_Int_Tables_number 164
_symmetry_space_group_name_Hall '-P 3 2"'
loop_
_atom_site_label
_atom_site_type_symbol
_atom_site_fract_x
_atom_site_fract_y
_atom_site_fract_z
Ba1 Ba 0.0000 0.0000 0.0000
Ba2 Ba 0.3333 0.6667 0.6571
Zn1 Zn 0.0000 0.0000 0.5000
Sn1 Sn 0.3333 0.6667 0.1653
O1 O 0.0000 0.5000 0.0000
O2 O 0.1682 0.3364 0.3318
# raw formation energy: -28.504 eV per formula unit

Record 3
# PBE-GGA BaZnSn4O8, optimized geometry
data_BaZnSn4O8
_chemical_formula_sum 'Ba1 Zn1 Sn4 O8'
_cell_length_a 6.0058
_cell_length_b 6.0058
_cell_length_c 6.9336
_cell_angle_alpha 90.00
_cell_angle_beta 90.00
_cell_angle_gamma 120.00
_symmetry_space_group_name_H-M 'P -3 1 m'
_symmetry_Int_Tables_number 162
_symmetry_space_group_name_Hall '-P 3 2'
loop_
_atom_site_label
_atom_site_type_symbol
_atom_site_fract_x
_atom_site_fract_y
_atom_site_fract_z
Ba1 Ba 0.0000 0.0000 0.0000
Zn1 Zn 0.0000 0.0000 0.5000
Sn1 Sn 0.3333 0.6667 0.2916
O1 O 0.0000 0.2916 0.3029
O2 O 0.3333 0.6667 0.0000
# raw formation energy: -20.569 eV per formula unit